VASP calculation (PBE-GGA) on a relaxed Ba6AgP2Br3 crystal.

The structure belongs to space group C2/m (No. 12); the cell edges are 8.219, 14.186 and 8.467 Å and the angles 90.00°, 109.01° and 90.00°. Symmetry generates all atoms from Ba at (0.221, 0.000, 0.222), Ba at (0.250, 0.176, 0.779), Ag at (0.000, 0.500, 0.000), P at (0.000, 0.167, 0.000), Br at (0.000, 0.000, 0.500) and Br at (0.000, 0.333, 0.500).

As for the volume: 933.40 Å³ per cell. As for the uncorrected formation energy: -1.31 eV per atom. As for the calculated total energy: -45.90 eV/f.u.